(1)
Computed, not measured: a geometry-optimized Si2PtW structure at the PBE level of DFT. Values from VASP.

Structure (Quantum ESPRESSO input):
```
&SYSTEM
  ibrav = 0, nat = 4, ntyp = 3
/
ATOMIC_SPECIES
Si 28.09 Si.upf
W 183.84 W.upf
Pt 195.08 Pt.upf
ATOMIC_POSITIONS crystal
Si 0.2500 0.2500 0.2500
Si 0.7500 0.7500 0.7500
W 0.0000 0.0000 0.0000
Pt 0.5000 0.5000 0.5000
CELL_PARAMETERS angstrom
0.0000 3.0403 3.0403
3.0403 0.0000 3.0403
3.0403 3.0403 0.0000
```

Output
energy = -7.592 eV per atom
ΔE_f (raw) = -132.2 meV/atom

---

(2)
Computed, not measured: a geometry-optimized VSiPIr2 structure at the PBE level of DFT. Values from VASP.

Structure (Quantum ESPRESSO input):
```
&SYSTEM
  ibrav = 0, nat = 5, ntyp = 4
/
ATOMIC_SPECIES
P 30.97 P.upf
Si 28.09 Si.upf
Ir 192.22 Ir.upf
V 50.94 V.upf
ATOMIC_POSITIONS crystal
P 0.0000 0.0000 0.0000
Si 0.5000 0.5000 0.5000
Ir 0.0000 0.0000 0.5000
Ir 0.5000 0.0000 0.0000
V 0.0000 0.5000 0.0000
CELL_PARAMETERS angstrom
4.3704 0.0000 0.0000
0.0000 4.3920 0.0000
0.0000 0.0000 4.3704
```

Output
energy = -7.025 eV per atom
ΔE_f (raw) = 509.7 meV/atom

---

(3)
Computed, not measured: a geometry-optimized NpGaTe2 structure at the PBE level of DFT. Values from VASP.

Structure (Quantum ESPRESSO input):
```
&SYSTEM
  ibrav = 0, nat = 4, ntyp = 3
/
ATOMIC_SPECIES
Np 237.00 Np.upf
Ga 69.72 Ga.upf
Te 127.60 Te.upf
ATOMIC_POSITIONS crystal
Np 0.6673 0.6673 0.9981
Ga 0.4964 0.4964 0.5109
Te 0.0782 0.0782 0.7655
Te 0.2581 0.2581 0.2256
CELL_PARAMETERS angstrom
-0.5385 -1.6123 -4.0305
-3.2752 -2.7800 -0.8241
-5.9999 4.6441 -3.4298
```

Output
energy = -5.966 eV per atom
ΔE_f (raw) = -403.1 meV/atom

---

(4)
Computed, not measured: a geometry-optimized KCd2Ga structure at the PBE level of DFT. Values from VASP.

Structure (Quantum ESPRESSO input):
```
&SYSTEM
  ibrav = 0, nat = 8, ntyp = 3
/
ATOMIC_SPECIES
K 39.10 K.upf
Cd 112.41 Cd.upf
Ga 69.72 Ga.upf
ATOMIC_POSITIONS crystal
K 0.9478 0.8956 0.2500
K 0.0522 0.1044 0.7500
Cd 0.3401 0.6803 0.9395
Cd 0.6599 0.3197 0.0605
Cd 0.6599 0.3197 0.4395
Cd 0.3401 0.6803 0.5605
Ga 0.2298 0.4595 0.2500
Ga 0.7702 0.5405 0.7500
CELL_PARAMETERS angstrom
4.7962 0.0000 0.0000
-2.3981 5.9446 0.0000
0.0000 0.0000 7.9527
```

Output
energy of formation from the pure elements = -61 meV per atom
energy = -1.549 eV per atom

---

(5)
Computed, not measured: a geometry-optimized YHRh3 structure at the PBE level of DFT. Values from VASP.

Structure (Quantum ESPRESSO input):
```
&SYSTEM
  ibrav = 0, nat = 10, ntyp = 3
/
ATOMIC_SPECIES
Y 88.91 Y.upf
H 1.01 H.upf
Rh 102.91 Rh.upf
ATOMIC_POSITIONS crystal
Y 0.0000 0.0000 0.0000
Y 0.5000 0.5000 0.5000
H 0.2500 0.2500 0.2500
H 0.7500 0.7500 0.7500
Rh 0.9770 0.5230 0.2500
Rh 0.5230 0.2500 0.9770
Rh 0.2500 0.9770 0.5230
Rh 0.7500 0.0230 0.4770
Rh 0.4770 0.7500 0.0230
Rh 0.0230 0.4770 0.7500
CELL_PARAMETERS angstrom
-5.0772 -0.3222 -1.1884
-0.6175 -2.7968 4.3693
-0.6528 4.5204 2.5366
```

Output
energy = -6.549 eV per atom

---

(6)
Computed, not measured: a geometry-optimized Tb15PmEr4 structure at the PBE level of DFT. Values from VASP.

Structure (Quantum ESPRESSO input):
```
&SYSTEM
  ibrav = 0, nat = 20, ntyp = 3
/
ATOMIC_SPECIES
Tb 158.93 Tb.upf
Pm 145.00 Pm.upf
Er 167.26 Er.upf
ATOMIC_POSITIONS crystal
Tb 0.5000 0.5000 0.0000
Tb 0.5000 0.5000 0.2014
Tb 0.5000 0.5000 0.4003
Tb 0.5000 0.5000 0.5997
Tb 0.5000 0.5000 0.7986
Tb 0.5000 0.0000 0.1015
Tb 0.5000 0.0000 0.3007
Tb 0.5000 0.0000 0.5000
Tb 0.5000 0.0000 0.6993
Tb 0.5000 0.0000 0.8985
Tb 0.0000 0.5000 0.1015
Tb 0.0000 0.5000 0.3007
Tb 0.0000 0.5000 0.5000
Tb 0.0000 0.5000 0.6993
Tb 0.0000 0.5000 0.8985
Pm 0.0000 0.0000 0.0000
Er 0.0000 0.0000 0.2010
Er 0.0000 0.0000 0.4003
Er 0.0000 0.0000 0.5997
Er 0.0000 0.0000 0.7990
CELL_PARAMETERS angstrom
5.0262 0.0000 0.0000
0.0000 5.0262 0.0000
0.0000 0.0000 25.1352
```

Output
energy of formation from the pure elements = 17 meV per atom
energy = -4.605 eV per atom

---

(7)
Computed, not measured: a geometry-optimized Nd2Be4Ge3Ru structure at the PBE level of DFT. Values from VASP.

Structure (Quantum ESPRESSO input):
```
&SYSTEM
  ibrav = 0, nat = 10, ntyp = 4
/
ATOMIC_SPECIES
Nd 144.24 Nd.upf
Be 9.01 Be.upf
Ge 72.64 Ge.upf
Ru 101.07 Ru.upf
ATOMIC_POSITIONS crystal
Nd 0.5000 0.0000 0.2478
Nd 0.0000 0.5000 0.7522
Be 0.5000 0.5000 0.0000
Be 0.0000 0.0000 0.0000
Be 0.5000 0.0000 0.6292
Be 0.0000 0.5000 0.3708
Ge 0.0000 0.0000 0.5000
Ge 0.5000 0.0000 0.8693
Ge 0.0000 0.5000 0.1307
Ru 0.5000 0.5000 0.5000
CELL_PARAMETERS angstrom
3.9530 0.0000 0.0000
0.0000 3.9530 0.0000
0.0000 0.0000 10.1183
```

Output
energy of formation from the pure elements = -392 meV per atom
energy = -5.149 eV per atom

---

(8)
Computed, not measured: a geometry-optimized ErPd3Au6 structure at the PBE level of DFT. Values from VASP.

Structure (Quantum ESPRESSO input):
```
&SYSTEM
  ibrav = 0, nat = 20, ntyp = 3
/
ATOMIC_SPECIES
Er 167.26 Er.upf
Pd 106.42 Pd.upf
Au 196.97 Au.upf
ATOMIC_POSITIONS crystal
Er 0.2500 0.9320 0.6323
Er 0.7500 0.0680 0.3677
Pd 0.2500 0.5328 0.4326
Pd 0.7500 0.4672 0.5674
Pd 0.2500 0.3290 0.8346
Pd 0.7500 0.6710 0.1654
Pd 0.2500 0.7379 0.0353
Pd 0.7500 0.2621 0.9647
Au 0.2500 0.4350 0.1257
Au 0.7500 0.5650 0.8743
Au 0.2500 0.1372 0.2319
Au 0.7500 0.8628 0.7681
Au 0.2500 0.6303 0.7388
Au 0.7500 0.3697 0.2612
Au 0.2500 0.2452 0.5386
Au 0.7500 0.7548 0.4614
Au 0.2500 0.8219 0.3257
Au 0.7500 0.1781 0.6743
Au 0.2500 0.0375 0.9360
Au 0.7500 0.9625 0.0640
CELL_PARAMETERS angstrom
-3.7059 -3.0202 -0.8024
4.1088 -3.5944 -5.4480
1.0277 -3.8675 9.8107
```

Output
energy of formation from the pure elements = -354 meV per atom
energy = -4.335 eV per atom

---

(9)
Computed, not measured: a geometry-optimized Ta2AlGaSn structure at the PBE level of DFT. Values from VASP.

Structure (Quantum ESPRESSO input):
```
&SYSTEM
  ibrav = 0, nat = 5, ntyp = 4
/
ATOMIC_SPECIES
Al 26.98 Al.upf
Sn 118.71 Sn.upf
Ga 69.72 Ga.upf
Ta 180.95 Ta.upf
ATOMIC_POSITIONS crystal
Al 0.0000 0.0000 0.0000
Sn 0.5000 0.5000 0.5000
Ga 0.0000 0.5000 0.0000
Ta 0.0000 0.0000 0.5000
Ta 0.5000 0.0000 0.0000
CELL_PARAMETERS angstrom
4.8827 0.0000 0.0000
0.0000 4.4640 0.0000
0.0000 0.0000 4.8827
```

Output
energy of formation from the pure elements = 1069 meV per atom
energy = -5.827 eV per atom

---

(10)
Computed, not measured: a geometry-optimized CaPt2Rh structure at the PBE level of DFT. Values from VASP.

Structure (Quantum ESPRESSO input):
```
&SYSTEM
  ibrav = 0, nat = 4, ntyp = 3
/
ATOMIC_SPECIES
Ca 40.08 Ca.upf
Rh 102.91 Rh.upf
Pt 195.08 Pt.upf
ATOMIC_POSITIONS crystal
Ca 0.5000 0.5000 0.7514
Rh 0.0000 0.0000 0.4541
Pt 0.0000 0.0000 0.0275
Pt 0.5000 0.5000 0.2671
CELL_PARAMETERS angstrom
3.4160 0.0000 0.0000
0.0000 3.4160 0.0000
0.0000 0.0000 6.2152
```

Output
energy of formation from the pure elements = -201 meV per atom
energy = -5.560 eV per atom

---

(11)
Computed, not measured: a geometry-optimized K2Rb3Bi4 structure at the PBE level of DFT. Values from VASP.

Structure (Quantum ESPRESSO input):
```
&SYSTEM
  ibrav = 0, nat = 9, ntyp = 3
/
ATOMIC_SPECIES
K 39.10 K.upf
Rb 85.47 Rb.upf
Bi 208.98 Bi.upf
ATOMIC_POSITIONS crystal
K 0.7625 0.1525 0.3231
K 0.2375 0.8475 0.6769
Rb 0.5479 0.2308 0.6728
Rb 0.0000 0.0000 0.0000
Rb 0.4521 0.7692 0.3272
Bi 0.2689 0.3965 0.0666
Bi 0.8833 0.5815 0.6514
Bi 0.1167 0.4185 0.3486
Bi 0.7311 0.6035 0.9334
CELL_PARAMETERS angstrom
-2.8446 2.9721 -4.4059
-3.3445 -4.4675 -4.9768
-10.8160 -2.9400 0.8766
```

Output
energy of formation from the pure elements = -308 meV per atom
energy = -2.600 eV per atom

---

(12)
Computed, not measured: a geometry-optimized Sr3PdBr2F6 structure at the PBE level of DFT. Values from VASP.

Structure (Quantum ESPRESSO input):
```
&SYSTEM
  ibrav = 0, nat = 12, ntyp = 4
/
ATOMIC_SPECIES
Sr 87.62 Sr.upf
Pd 106.42 Pd.upf
Br 79.90 Br.upf
F 19.00 F.upf
ATOMIC_POSITIONS crystal
Sr 0.0000 0.5000 0.0000
Sr 0.5000 0.5000 0.5000
Sr 0.5000 0.0000 0.5000
Pd 0.5000 0.0000 0.0000
Br 0.1085 0.7183 0.4365
Br 0.8915 0.2817 0.5635
F 0.6994 0.3477 0.1420
F 0.3006 0.6523 0.8580
F 0.6196 0.8482 0.6964
F 0.3804 0.1518 0.3036
F 0.3006 0.2057 0.8580
F 0.6994 0.7943 0.1420
CELL_PARAMETERS angstrom
0.1726 -4.6843 3.1369
5.0907 -3.1227 -4.9432
2.3209 3.0958 6.5137
```

Output
energy = -4.659 eV per atom
ΔE_f (raw) = -2591.0 meV/atom